The following is a DFT calculation (PBE) of an optimized crystal structure of LiMg8Pd5.

a = 6.913 Å, b = 6.913 Å, c = 6.913 Å
α = 110.44°, β = 110.44°, γ = 107.55°
Element x y z (fractional)
Li  0.000  0.000  0.000
Mg  0.061  0.311  0.419
Mg  0.263  0.160  0.751
Mg  0.358  0.939  0.250
Mg  0.409  0.511  0.249
Mg  0.489  0.737  0.898
Mg  0.689  0.108  0.750
Mg  0.840  0.591  0.102
Mg  0.892  0.642  0.581
Pd  0.067  0.470  0.858
Pd  0.250  0.750  0.500
Pd  0.530  0.388  0.596
Pd  0.612  0.209  0.142
Pd  0.791  0.933  0.404

Output
ΔH_f (0 K), meV/atom: -458

The following is a DFT calculation (PBE) of an optimized crystal structure of PaAlCo2.

a = 4.281 Å, b = 6.321 Å, c = 4.672 Å
α = 90.00°, β = 90.00°, γ = 90.00°
Element x y z (fractional)
Pa  0.250  0.250  0.184
Pa  0.750  0.750  0.816
Al  0.250  0.750  0.318
Al  0.750  0.250  0.682
Co  0.250  0.045  0.671
Co  0.250  0.455  0.671
Co  0.750  0.545  0.329
Co  0.750  0.955  0.329

Output
ΔH_f (0 K), meV/atom: -439